Entry 1:
# AlFeNiPd | OQMD via LeMat-Bulk | PBE-GGA | optimized geometry
data_AlFeNiPd
_chemical_formula_sum 'Al4 Fe4 Ni4 Pd4'
_space_group_name_H-M_alt 'F -4 3 m'
_space_group_IT_number 216
_space_group_name_Hall 'F -4 2 3'
_cell_length_a 5.9002
_cell_length_b 5.9002
_cell_length_c 5.9002
_cell_angle_alpha 90.00
_cell_angle_beta 90.00
_cell_angle_gamma 90.00
loop_
_atom_site_label
_atom_site_fract_x
_atom_site_fract_y
_atom_site_fract_z
Al1 0.0000 0.0000 0.0000
Fe1 0.2500 0.2500 0.2500
Ni1 0.0000 0.0000 0.5000
Pd1 0.2500 0.2500 0.7500
# V (Å³ per cell): 205.4
# Energy (eV per atom): -6.0219
# Distance to the lowest polymorph of the same formula (eV per atom): 0.034



Entry 2:
# AlFeNiPd | OQMD via LeMat-Bulk | PBE-GGA | optimized geometry
data_AlFeNiPd
_chemical_formula_sum 'Al4 Fe4 Ni4 Pd4'
_space_group_name_H-M_alt 'F -4 3 m'
_space_group_IT_number 216
_space_group_name_Hall 'F -4 2 3'
_cell_length_a 5.9450
_cell_length_b 5.9450
_cell_length_c 5.9450
_cell_angle_alpha 90.00
_cell_angle_beta 90.00
_cell_angle_gamma 90.00
loop_
_atom_site_label
_atom_site_fract_x
_atom_site_fract_y
_atom_site_fract_z
Al1 0.0000 0.0000 0.0000
Fe1 0.0000 0.0000 0.5000
Ni1 0.2500 0.2500 0.2500
Pd1 0.2500 0.2500 0.7500
# V (Å³ per cell): 210.1
# Energy (eV per atom): -6.0560
# Distance to the lowest polymorph of the same formula (eV per atom): 0.000



Entry 3:
# AlFeNiPt | OQMD via LeMat-Bulk | PBE-GGA | optimized geometry
data_AlFeNiPt
_chemical_formula_sum 'Al4 Fe4 Ni4 Pt4'
_space_group_name_H-M_alt 'F -4 3 m'
_space_group_IT_number 216
_space_group_name_Hall 'F -4 2 3'
_cell_length_a 5.9565
_cell_length_b 5.9565
_cell_length_c 5.9565
_cell_angle_alpha 90.00
_cell_angle_beta 90.00
_cell_angle_gamma 90.00
loop_
_atom_site_label
_atom_site_fract_x
_atom_site_fract_y
_atom_site_fract_z
Al1 0.0000 0.0000 0.0000
Fe1 0.0000 0.0000 0.5000
Ni1 0.2500 0.2500 0.7500
Pt1 0.2500 0.2500 0.2500
# V (Å³ per cell): 211.3
# Energy (eV per atom): -6.3736
# Distance to the lowest polymorph of the same formula (eV per atom): 0.000



Entry 4:
# AlFeNiPt | OQMD via LeMat-Bulk | PBE-GGA | optimized geometry
data_AlFeNiPt
_chemical_formula_sum 'Al4 Fe4 Ni4 Pt4'
_space_group_name_H-M_alt 'F -4 3 m'
_space_group_IT_number 216
_space_group_name_Hall 'F -4 2 3'
_cell_length_a 5.9175
_cell_length_b 5.9175
_cell_length_c 5.9175
_cell_angle_alpha 90.00
_cell_angle_beta 90.00
_cell_angle_gamma 90.00
loop_
_atom_site_label
_atom_site_fract_x
_atom_site_fract_y
_atom_site_fract_z
Al1 0.0000 0.0000 0.0000
Fe1 0.2500 0.2500 0.2500
Ni1 0.0000 0.0000 0.5000
Pt1 0.2500 0.2500 0.7500
# V (Å³ per cell): 207.2
# Energy (eV per atom): -6.3374
# Distance to the lowest polymorph of the same formula (eV per atom): 0.036



Entry 5:
# AlFeReNi | OQMD via LeMat-Bulk | PBE-GGA | optimized geometry
data_AlFeReNi
_chemical_formula_sum 'Al4 Fe4 Re4 Ni4'
_space_group_name_H-M_alt 'F -4 3 m'
_space_group_IT_number 216
_space_group_name_Hall 'F -4 2 3'
_cell_length_a 5.8250
_cell_length_b 5.8250
_cell_length_c 5.8250
_cell_angle_alpha 90.00
_cell_angle_beta 90.00
_cell_angle_gamma 90.00
loop_
_atom_site_label
_atom_site_fract_x
_atom_site_fract_y
_atom_site_fract_z
Al1 0.0000 0.0000 0.0000
Fe1 0.2500 0.2500 0.2500
Re1 0.0000 0.0000 0.5000
Ni1 0.2500 0.2500 0.7500
# V (Å³ per cell): 197.7
# Energy (eV per atom): -7.5857
# Distance to the lowest polymorph of the same formula (eV per atom): 0.000



Entry 6:
# AlFeReNi | OQMD via LeMat-Bulk | PBE-GGA | optimized geometry
data_AlFeReNi
_chemical_formula_sum 'Al4 Fe4 Re4 Ni4'
_space_group_name_H-M_alt 'F -4 3 m'
_space_group_IT_number 216
_space_group_name_Hall 'F -4 2 3'
_cell_length_a 5.8618
_cell_length_b 5.8618
_cell_length_c 5.8618
_cell_angle_alpha 90.00
_cell_angle_beta 90.00
_cell_angle_gamma 90.00
loop_
_atom_site_label
_atom_site_fract_x
_atom_site_fract_y
_atom_site_fract_z
Al1 0.0000 0.0000 0.0000
Fe1 0.2500 0.2500 0.2500
Re1 0.2500 0.2500 0.7500
Ni1 0.0000 0.0000 0.5000
# V (Å³ per cell): 201.4
# Energy (eV per atom): -7.4329
# Distance to the lowest polymorph of the same formula (eV per atom): 0.153



Entry 7:
# AlFeNiW | OQMD via LeMat-Bulk | PBE-GGA | optimized geometry
data_AlFeNiW
_chemical_formula_sum 'Al4 Fe4 Ni4 W4'
_space_group_name_H-M_alt 'F -4 3 m'
_space_group_IT_number 216
_space_group_name_Hall 'F -4 2 3'
_cell_length_a 5.9287
_cell_length_b 5.9287
_cell_length_c 5.9287
_cell_angle_alpha 90.00
_cell_angle_beta 90.00
_cell_angle_gamma 90.00
loop_
_atom_site_label
_atom_site_fract_x
_atom_site_fract_y
_atom_site_fract_z
Al1 0.0000 0.0000 0.0000
Fe1 0.2500 0.2500 0.2500
Ni1 0.0000 0.0000 0.5000
W1 0.2500 0.2500 0.7500
# V (Å³ per cell): 208.4
# Energy (eV per atom): -7.5239
# Distance to the lowest polymorph of the same formula (eV per atom): 0.274



Entry 8:
# AlFeNiW | OQMD via LeMat-Bulk | PBE-GGA | optimized geometry
data_AlFeNiW
_chemical_formula_sum 'Al4 Fe4 Ni4 W4'
_space_group_name_H-M_alt 'F -4 3 m'
_space_group_IT_number 216
_space_group_name_Hall 'F -4 2 3'
_cell_length_a 5.8855
_cell_length_b 5.8855
_cell_length_c 5.8855
_cell_angle_alpha 90.00
_cell_angle_beta 90.00
_cell_angle_gamma 90.00
loop_
_atom_site_label
_atom_site_fract_x
_atom_site_fract_y
_atom_site_fract_z
Al1 0.0000 0.0000 0.0000
Fe1 0.2500 0.2500 0.2500
Ni1 0.2500 0.2500 0.7500
W1 0.0000 0.0000 0.5000
# V (Å³ per cell): 203.9
# Energy (eV per atom): -7.7978
# Distance to the lowest polymorph of the same formula (eV per atom): 0.000



Entry 9:
# YAlFeNi | OQMD via LeMat-Bulk | PBE-GGA | optimized geometry
data_YAlFeNi
_chemical_formula_sum 'Y4 Al4 Fe4 Ni4'
_space_group_name_H-M_alt 'F -4 3 m'
_space_group_IT_number 216
_space_group_name_Hall 'F -4 2 3'
_cell_length_a 6.4363
_cell_length_b 6.4363
_cell_length_c 6.4363
_cell_angle_alpha 90.00
_cell_angle_beta 90.00
_cell_angle_gamma 90.00
loop_
_atom_site_label
_atom_site_fract_x
_atom_site_fract_y
_atom_site_fract_z
Y1 0.0000 0.0000 0.0000
Al1 0.2500 0.2500 0.2500
Fe1 0.0000 0.0000 0.5000
Ni1 0.2500 0.2500 0.7500
# V (Å³ per cell): 266.6
# Energy (eV per atom): -5.9890
# Distance to the lowest polymorph of the same formula (eV per atom): 0.209



Entry 10:
# Y2Al4FeNi | OQMD via LeMat-Bulk | PBE-GGA | optimized geometry
data_Y2Al4FeNi
_chemical_formula_sum 'Y4 Al8 Fe2 Ni2'
_space_group_name_H-M_alt 'A m m 2'
_space_group_IT_number 38
_cell_length_a 6.9671
_cell_length_b 4.0292
_cell_length_c 10.1720
_cell_angle_alpha 90.00
_cell_angle_beta 90.00
_cell_angle_gamma 90.00
loop_
_space_group_symop_operation_xyz
'x,y,z'
'-x,-y,z'
'-x,y,z'
'x,-y,z'
'x,y+1/2,z+1/2'
'-x,-y+1/2,z+1/2'
'-x,y+1/2,z+1/2'
'x,-y+1/2,z+1/2'
loop_
_atom_site_label
_atom_site_fract_x
_atom_site_fract_y
_atom_site_fract_z
Y1 0.0000 0.0000 0.0000
Y2 0.5000 0.0000 0.1186
Al1 0.1935 0.0000 0.7197
Al2 0.3050 0.0000 0.3989
Fe1 0.0000 0.0000 0.2757
Ni1 0.5000 0.0000 0.8417
# V (Å³ per cell): 285.5
# Energy (eV per atom): -5.7331



Entry 11:
# YAlFeNi | OQMD via LeMat-Bulk | PBE-GGA | optimized geometry
data_YAlFeNi
_chemical_formula_sum 'Y4 Al4 Fe4 Ni4'
_space_group_name_H-M_alt 'F -4 3 m'
_space_group_IT_number 216
_space_group_name_Hall 'F -4 2 3'
_cell_length_a 6.2404
_cell_length_b 6.2404
_cell_length_c 6.2404
_cell_angle_alpha 90.00
_cell_angle_beta 90.00
_cell_angle_gamma 90.00
loop_
_atom_site_label
_atom_site_fract_x
_atom_site_fract_y
_atom_site_fract_z
Y1 0.0000 0.0000 0.0000
Al1 0.0000 0.0000 0.5000
Fe1 0.2500 0.2500 0.7500
Ni1 0.2500 0.2500 0.2500
# V (Å³ per cell): 243.0
# Energy (eV per atom): -6.1979
# Distance to the lowest polymorph of the same formula (eV per atom): 0.000



Entry 12:
# AlZnFeNi | OQMD via LeMat-Bulk | PBE-GGA | optimized geometry
data_AlZnFeNi
_chemical_formula_sum 'Al4 Zn4 Fe4 Ni4'
_space_group_name_H-M_alt 'F -4 3 m'
_space_group_IT_number 216
_space_group_name_Hall 'F -4 2 3'
_cell_length_a 5.7370
_cell_length_b 5.7370
_cell_length_c 5.7370
_cell_angle_alpha 90.00
_cell_angle_beta 90.00
_cell_angle_gamma 90.00
loop_
_atom_site_label
_atom_site_fract_x
_atom_site_fract_y
_atom_site_fract_z
Al1 0.0000 0.0000 0.0000
Zn1 0.0000 0.0000 0.5000
Fe1 0.2500 0.2500 0.7500
Ni1 0.2500 0.2500 0.2500
# V (Å³ per cell): 188.8
# Energy (eV per atom): -4.9571
# Distance to the lowest polymorph of the same formula (eV per atom): 0.000



Entry 13:
# AlZnFeNi | OQMD via LeMat-Bulk | PBE-GGA | optimized geometry
data_AlZnFeNi
_chemical_formula_sum 'Al4 Zn4 Fe4 Ni4'
_space_group_name_H-M_alt 'F -4 3 m'
_space_group_IT_number 216
_space_group_name_Hall 'F -4 2 3'
_cell_length_a 5.8599
_cell_length_b 5.8599
_cell_length_c 5.8599
_cell_angle_alpha 90.00
_cell_angle_beta 90.00
_cell_angle_gamma 90.00
loop_
_atom_site_label
_atom_site_fract_x
_atom_site_fract_y
_atom_site_fract_z
Al1 0.0000 0.0000 0.0000
Zn1 0.2500 0.2500 0.2500
Fe1 0.0000 0.0000 0.5000
Ni1 0.2500 0.2500 0.7500
# V (Å³ per cell): 201.2
# Energy (eV per atom): -4.8464
# Distance to the lowest polymorph of the same formula (eV per atom): 0.111



Entry 14:
# NpAlFe | OQMD via LeMat-Bulk | PBE-GGA | optimized geometry
data_NpAlFe
_chemical_formula_sum 'Np4 Al4 Fe4'
_space_group_name_H-M_alt 'F -4 3 m'
_space_group_IT_number 216
_space_group_name_Hall 'F -4 2 3'
_cell_length_a 5.9890
_cell_length_b 5.9890
_cell_length_c 5.9890
_cell_angle_alpha 90.00
_cell_angle_beta 90.00
_cell_angle_gamma 90.00
loop_
_atom_site_label
_atom_site_fract_x
_atom_site_fract_y
_atom_site_fract_z
Np1 0.0000 0.0000 0.0000
Al1 0.0000 0.0000 0.5000
Fe1 0.2500 0.2500 0.2500
# V (Å³ per cell): 214.8
# Energy (eV per atom): -8.1234



Entry 15:
# Al2FeOs | OQMD via LeMat-Bulk | PBE-GGA | optimized geometry
data_Al2FeOs
_chemical_formula_sum 'Al8 Fe4 Os4'
_space_group_name_H-M_alt 'F -4 3 m'
_space_group_IT_number 216
_space_group_name_Hall 'F -4 2 3'
_cell_length_a 5.9977
_cell_length_b 5.9977
_cell_length_c 5.9977
_cell_angle_alpha 90.00
_cell_angle_beta 90.00
_cell_angle_gamma 90.00
loop_
_atom_site_label
_atom_site_fract_x
_atom_site_fract_y
_atom_site_fract_z
Al1 0.0000 0.0000 0.0000
Al2 0.2500 0.2500 0.2500
Fe1 0.2500 0.2500 0.7500
Os1 0.0000 0.0000 0.5000
# V (Å³ per cell): 215.8
# Energy (eV per atom): -6.9065



Entry 16:
# AlFeOs | OQMD via LeMat-Bulk | PBE-GGA | optimized geometry
data_AlFeOs
_chemical_formula_sum 'Al4 Fe4 Os4'
_space_group_name_H-M_alt 'F -4 3 m'
_space_group_IT_number 216
_space_group_name_Hall 'F -4 2 3'
_cell_length_a 5.6904
_cell_length_b 5.6904
_cell_length_c 5.6904
_cell_angle_alpha 90.00
_cell_angle_beta 90.00
_cell_angle_gamma 90.00
loop_
_atom_site_label
_atom_site_fract_x
_atom_site_fract_y
_atom_site_fract_z
Al1 0.0000 0.0000 0.0000
Fe1 0.0000 0.0000 0.5000
Os1 0.2500 0.2500 0.2500
# V (Å³ per cell): 184.3
# Energy (eV per atom): -7.4537
# Distance to the lowest polymorph of the same formula (eV per atom): 0.000



Entry 17:
# Al4FeOs | OQMD via LeMat-Bulk | PBE-GGA | optimized geometry
data_Al4FeOs
_chemical_formula_sum 'Al4 Fe1 Os1'
_space_group_name_H-M_alt 'P 4/m m m'
_space_group_IT_number 123
_space_group_name_Hall '-P 4 2'
_cell_length_a 3.1064
_cell_length_b 3.1064
_cell_length_c 8.3481
_cell_angle_alpha 90.00
_cell_angle_beta 90.00
_cell_angle_gamma 90.00
loop_
_atom_site_label
_atom_site_fract_x
_atom_site_fract_y
_atom_site_fract_z
Al1 0.0000 0.0000 0.1538
Al2 0.5000 0.5000 0.3366
Fe1 0.5000 0.5000 0.0000
Os1 0.0000 0.0000 0.5000
# V (Å³ per cell): 80.6
# Energy (eV per atom): -6.1893



Entry 18:
# ScAlFeOs | OQMD via LeMat-Bulk | PBE-GGA | optimized geometry
data_ScAlFeOs
_chemical_formula_sum 'Sc4 Al4 Fe4 Os4'
_space_group_name_H-M_alt 'F -4 3 m'
_space_group_IT_number 216
_space_group_name_Hall 'F -4 2 3'
_cell_length_a 6.1588
_cell_length_b 6.1588
_cell_length_c 6.1588
_cell_angle_alpha 90.00
_cell_angle_beta 90.00
_cell_angle_gamma 90.00
loop_
_atom_site_label
_atom_site_fract_x
_atom_site_fract_y
_atom_site_fract_z
Sc1 0.0000 0.0000 0.0000
Al1 0.0000 0.0000 0.5000
Fe1 0.2500 0.2500 0.7500
Os1 0.2500 0.2500 0.2500
# V (Å³ per cell): 233.6
# Energy (eV per atom): -7.6589
# Distance to the lowest polymorph of the same formula (eV per atom): 0.000



Entry 19:
# ScAlFeOs | OQMD via LeMat-Bulk | PBE-GGA | optimized geometry
data_ScAlFeOs
_chemical_formula_sum 'Sc4 Al4 Fe4 Os4'
_space_group_name_H-M_alt 'F -4 3 m'
_space_group_IT_number 216
_space_group_name_Hall 'F -4 2 3'
_cell_length_a 6.2522
_cell_length_b 6.2522
_cell_length_c 6.2522
_cell_angle_alpha 90.00
_cell_angle_beta 90.00
_cell_angle_gamma 90.00
loop_
_atom_site_label
_atom_site_fract_x
_atom_site_fract_y
_atom_site_fract_z
Sc1 0.0000 0.0000 0.0000
Al1 0.2500 0.2500 0.2500
Fe1 0.0000 0.0000 0.5000
Os1 0.2500 0.2500 0.7500
# V (Å³ per cell): 244.4
# Energy (eV per atom): -7.4806
# Distance to the lowest polymorph of the same formula (eV per atom): 0.178



Entry 20:
# AlFeTcOs | OQMD via LeMat-Bulk | PBE-GGA | optimized geometry
data_AlFeTcOs
_chemical_formula_sum 'Al4 Fe4 Tc4 Os4'
_space_group_name_H-M_alt 'F -4 3 m'
_space_group_IT_number 216
_space_group_name_Hall 'F -4 2 3'
_cell_length_a 6.0091
_cell_length_b 6.0091
_cell_length_c 6.0091
_cell_angle_alpha 90.00
_cell_angle_beta 90.00
_cell_angle_gamma 90.00
loop_
_atom_site_label
_atom_site_fract_x
_atom_site_fract_y
_atom_site_fract_z
Al1 0.0000 0.0000 0.0000
Fe1 0.2500 0.2500 0.2500
Tc1 0.0000 0.0000 0.5000
Os1 0.2500 0.2500 0.7500
# V (Å³ per cell): 217.0
# Energy (eV per atom): -8.4750
# Distance to the lowest polymorph of the same formula (eV per atom): 0.000